PmCrAgF6 | GGA+U | optimized geometry

Calculated values
VASP energy	-5.76	eV per atom

Cell lengths 5.272, 5.272, 10.822 Å; angles 90.00, 90.00, 90.00 degrees
Last column: magnetic moment on the atom in μB.
Fractional coordinates of all 18 atoms:
1 F 0.821 0.179 0.499  0.01
2 F 0.273 0.273 0.317  0.00
3 F 0.727 0.727 0.317  0.00
4 Pm 0.500 0.500 0.169  0.01
5 F 0.199 0.801 0.185  0.01
6 F 0.699 0.699 0.685  0.01
7 Cr 0.000 0.000 0.331  3.81
8 Pm 0.000 0.000 0.669  0.01
9 F 0.679 0.679 0.999  0.01
10 F 0.301 0.301 0.685  0.01
11 F 0.179 0.821 0.499  0.01
12 F 0.801 0.199 0.185  0.01
13 Cr 0.500 0.500 0.831  3.81
14 F 0.321 0.321 0.999  0.01
15 Ag 0.000 0.000 0.998  0.00
16 F 0.773 0.227 0.817  0.00
17 Ag 0.500 0.500 0.498  0.00
18 F 0.227 0.773 0.817  0.00

CdFePbO4 | GGA+U | optimized geometry

Calculated values
VASP energy	-5.36	eV per atom

Cell lengths 6.516, 6.567, 6.567 Å; angles 61.17, 60.26, 60.26 degrees
Last column: magnetic moment on the atom in μB.
Fractional coordinates of all 14 atoms:
1 O 0.747 0.744 0.244  -0.01
2 O 0.265 0.744 0.244  -0.01
3 Pb 0.000 0.500 0.500  -0.11
4 Fe 0.370 0.380 0.880  4.18
5 Cd 0.500 0.000 0.500  0.03
6 O 0.253 0.254 0.239  0.06
7 O 0.735 0.256 0.756  -0.01
8 O 0.253 0.739 0.754  0.06
9 O 0.747 0.261 0.246  0.06
10 O 0.747 0.746 0.761  0.06
11 Cd 0.000 0.000 0.500  0.03
12 O 0.253 0.256 0.756  -0.01
13 Fe 0.630 0.620 0.120  4.18
14 Pb 0.000 0.000 0.000  -0.11

The total magnetization results, record by record, are as follows: 8.00 8.57 μB/cell.